Below is a crystal of ZrGePCl2 relaxed with PBEsol, with properties calculated at the SCAN level.

Structure (POSCAR):
```
ZrGePCl2
1.0
-0.3681 -0.2542 4.8094
-0.2598 -4.8154 -0.2744
5.1782 -0.3010 0.3804
Ge P Zr Cl
1 1 1 2
Direct
0.5000 0.5000 0.5000
0.0000 0.0000 0.5000
0.0000 0.0000 0.0000
0.5000 0.0000 0.0000
0.0000 0.5000 0.0000
```

Output
Distance to the lowest polymorph of the same formula (meV per atom): 0.0

Below is a crystal of RbGePb2Cl relaxed with PBEsol, with properties calculated at the SCAN level.

Structure (POSCAR):
```
RbGePb2Cl
1.0
-0.9568 4.6762 -2.4829
1.1136 -2.2889 -4.7401
-6.3729 -1.6706 -0.6905
Ge Rb Pb Cl
1 1 2 1
Direct
0.0000 0.0000 0.0000
0.5000 0.5000 0.5000
0.5000 0.0000 0.0000
0.0000 0.5000 0.0000
0.0000 0.0000 0.5000
```

Below is a crystal of Ge3PdCl relaxed with PBEsol, with properties calculated at the SCAN level.

Structure (POSCAR):
```
Ge3PdCl
1.0
4.7594 0.0000 0.0000
0.0000 4.7594 0.0000
0.0000 0.0000 4.7594
Pd Ge Cl
1 3 1
Direct
0.5000 0.5000 0.5000
0.0000 0.0000 0.5000
0.5000 0.0000 0.0000
0.0000 0.5000 0.0000
0.0000 0.0000 0.0000
```

Below is a crystal of RbGeCl3 relaxed with PBEsol, with properties calculated at the SCAN level.

Structure (POSCAR):
```
RbGeCl3
1.0
5.7039 0.0000 0.0819
0.0000 6.9645 0.0000
-2.3254 0.0000 7.5515
Ge Cl Rb
2 6 2
Direct
0.0715 0.7500 0.1130
0.9285 0.2500 0.8870
0.8146 0.4962 0.6814
0.1854 0.5038 0.3186
0.3360 0.2500 0.8819
0.6640 0.7500 0.1181
0.1854 0.9962 0.3186
0.8146 0.0038 0.6814
0.6773 0.2500 0.2993
0.3227 0.7500 0.7007
```

Below is a crystal of RbGeCl3 relaxed with PBEsol, with properties calculated at the SCAN level.

Structure (POSCAR):
```
RbGeCl3
1.0
-6.8043 2.1700 1.2394
-2.4558 -7.1191 -1.0177
1.2671 -1.9095 10.2997
Cl Rb Ge
12 4 4
Direct
0.9371 0.0046 0.7612
0.0629 0.9954 0.2612
0.3160 0.2248 0.9630
0.6840 0.7752 0.4630
0.2176 0.6876 0.5264
0.5629 0.5046 0.7612
0.7176 0.8124 0.0264
0.4371 0.4954 0.2612
0.1840 0.7248 0.9630
0.8160 0.2752 0.4630
0.2824 0.1876 0.5264
0.7824 0.3124 0.0264
0.0192 0.4381 0.7480
0.5192 0.0619 0.2480
0.4808 0.9381 0.7480
0.9808 0.5619 0.2480
0.5088 0.4837 0.9861
0.0088 0.0163 0.4861
0.4912 0.5163 0.4861
0.9912 0.9837 0.9861
```

Below is a crystal of GeRh3Cl relaxed with PBEsol, with properties calculated at the SCAN level.

Structure (POSCAR):
```
GeRh3Cl
1.0
4.5517 0.0000 0.0000
0.0000 4.5517 0.0000
0.0000 0.0000 4.5517
Rh Cl Ge
3 1 1
Direct
0.5000 0.0000 0.0000
0.0000 0.0000 0.5000
0.0000 0.5000 0.0000
0.5000 0.5000 0.5000
0.0000 0.0000 0.0000
```

Below is a crystal of Sn2GeRhCl relaxed with PBEsol, with properties calculated at the SCAN level.

Structure (POSCAR):
```
Sn2GeRhCl
1.0
-2.9335 1.0562 -3.4849
-0.8364 -4.9796 -0.8052
-3.8930 0.1182 3.3129
Sn Rh Ge Cl
2 1 1 1
Direct
0.0000 0.5000 0.0000
0.0000 0.0000 0.5000
0.5000 0.5000 0.5000
0.5000 0.0000 0.0000
0.0000 0.0000 0.0000
```

Below is a crystal of SiGeRuCl2 relaxed with PBEsol, with properties calculated at the SCAN level.

Structure (POSCAR):
```
SiGeRuCl2
1.0
4.5653 0.0000 0.0000
0.0000 4.5653 0.0000
0.0000 0.0000 4.8366
Si Ge Cl Ru
1 1 2 1
Direct
0.0000 0.0000 0.0000
0.5000 0.5000 0.5000
0.5000 0.0000 0.0000
0.0000 0.5000 0.0000
0.0000 0.0000 0.5000
```

Below is a crystal of GeSbS2Cl relaxed with PBEsol, with properties calculated at the SCAN level.

Structure (POSCAR):
```
GeSbS2Cl
1.0
-1.7768 4.5382 0.8902
-4.0771 -1.0427 -2.8218
-2.3974 -1.7446 4.1086
S Cl Sb Ge
2 1 1 1
Direct
0.0000 0.0000 0.5000
0.0000 0.5000 0.0000
0.5000 0.0000 0.0000
0.0000 0.0000 0.0000
0.5000 0.5000 0.5000
```

Below is a crystal of SiGeSCl2 relaxed with PBEsol, with properties calculated at the SCAN level.

Structure (POSCAR):
```
SiGeSCl2
1.0
-3.5062 3.2500 0.2576
-3.2522 -3.4603 -0.6095
-0.2302 -0.6287 4.7973
Cl Ge Si S
2 1 1 1
Direct
0.5000 0.0000 0.0000
0.0000 0.5000 0.0000
0.0000 0.0000 0.0000
0.5000 0.5000 0.5000
0.0000 0.0000 0.5000
```

Below is a crystal of TlGeSCl2 relaxed with PBEsol, with properties calculated at the SCAN level.

Structure (POSCAR):
```
TlGeSCl2
1.0
-3.3654 -2.2846 -2.3022
3.2009 -3.8245 -0.8837
-1.4519 -2.2130 4.3184
Ge Tl S Cl
1 1 1 2
Direct
0.0000 0.0000 0.0000
0.5000 0.5000 0.5000
0.5000 0.0000 0.0000
0.0000 0.0000 0.5000
0.0000 0.5000 0.0000
```

Below is a crystal of Sc2GeSeCl relaxed with PBEsol, with properties calculated at the SCAN level.

Structure (POSCAR):
```
Sc2GeSeCl
1.0
4.7017 0.0000 0.0000
0.0000 4.8015 0.0000
0.0000 0.0000 4.8015
Ge Sc Cl Se
1 2 1 1
Direct
0.5000 0.0000 0.0000
0.0000 0.0000 0.5000
0.0000 0.5000 0.0000
0.0000 0.0000 0.0000
0.5000 0.5000 0.5000
```

The following energy relative to the elements, uncorrected values (in eV per formula unit) correspond, in order, to the records above: -2.24, -0.94, 5.09, -7.17, -7.09, 3.76, 5.46, 3.47, 1.49, 1.27, -2.88, -0.42.
The following Fermi-level density of states values (in states/eV/f.u.) correspond, in order, to the records above: 2.71, 3.14, 2.81, 0.00, 0.00, 3.00, 4.41, 3.12, 1.80, 1.98, 1.73, 4.68.
The following calculated total energy values (in eV for the cell shown) correspond, in order, to the records above: -78.380, -200.309, -92.923, -141.854, -283.399, -124.622, -127.222, -76.411, -82.096, -53.413, -119.909, -76.040.